Computed, not measured: Y7TmCd4 after structural relaxation at the GGA-PBE level of DFT.

The volume is 29.01 A^3/atom. Its formation energy is -0.01 eV/atom. For the magnetization, the calculation gives 0.2 μB/f.u.

Cell: 14.7094 5.6996 9.8199 Å, 90.00 122.26 90.00°
With the nearest neighbours (Å) after each atom.
Space group C2/m (No. 12)
Inequivalent atoms, fractional coordinates:
Y 0.0000 0.0000 0.0000  2 Tm 2.85, 4 Cd 2.96-3.18
Y 0.0705 0.5000 0.4110  3 Cd 3.13-3.21, 2 Y 3.35-3.46
Y 0.2079 0.5000 0.8823  4 Cd 3.37-3.67, 5 Y 3.46-3.56
Y 0.2382 0.0000 0.6924  4 Cd 2.99-3.17
Tm 0.0000 0.5000 0.0000  2 Y 2.85
Cd 0.0440 0.0000 0.7164  4 Y 2.99-3.21, 1 Cd 3.04
Cd 0.1808 0.0000 0.3412  5 Y 2.96-3.17, 1 Cd 3.04

=====

Computed, not measured: CrSbH2 after structural relaxation at the GGA-PBE level of DFT.

The volume is 12.05 A^3/atom. The energy relative to the lowest polymorph listed for this composition is 0.00 eV per formula unit. For the magnetization, the calculation gives 2.8 μB/f.u.

Cell: 4.2328 4.2328 10.7630 Å, 90.00 90.00 90.00°
With the nearest neighbours (Å) after each atom.
Space group I-42d (No. 122)
Inequivalent atoms, fractional coordinates:
Cr 0.0000 0.0000 0.0000  4 H 1.71
Sb 0.0000 0.0000 0.5000  8 H 2.71-2.73, 4 Cr 2.99
H 0.0036 0.2500 0.1250  2 Cr 1.71

=====

Computed, not measured: Tm6SnPb3 after structural relaxation at the GGA-PBE level of DFT.

The volume is 29.73 A^3/atom. Its formation energy is -0.32 eV/atom. For the magnetization, the calculation gives 0.0 μB/f.u.

Cell: 10.9364 4.5060 13.0247 Å, 90.00 112.14 90.00°
With the nearest neighbours (Å) after each atom.
Space group P2_1/m (No. 11)
Inequivalent atoms, fractional coordinates:
Tm 0.0212 0.2500 0.3542  4 Pb 3.05-3.40
Tm 0.0751 0.2500 0.8869  4 Pb 3.12-3.15
Tm 0.2456 0.7500 0.3304  3 Pb 3.00-3.21, 2 Sn 3.16
Tm 0.3375 0.7500 0.7869  3 Pb 3.07-3.10, 1 Sn 3.15
Tm 0.3432 0.7500 0.1111  5 Pb 3.15-3.43, 2 Sn 3.25, 1 Tm 3.41
Tm 0.3928 0.2500 0.5505  3 Sn 3.08-3.39, 2 Pb 3.20
Sn 0.4346 0.2500 0.3056  8 Tm 3.08-3.39, 1 Pb 3.18
Pb 0.1328 0.2500 0.1431  8 Tm 3.12-3.40, 1 Sn 3.18
Pb 0.1781 0.7500 0.5333  7 Tm 3.00-3.23
Pb 0.3834 0.2500 0.9581  6 Tm 3.07-3.43, 2 Pb 3.27